DFT (GGA+U) results for a relaxed CsCrNF2 crystal. Values from VASP.

Calculated values
**N(E_F)**: 0.157 states/eV/atom
**ΔE to the lowest computed polymorph**: 0.000 eV/atom

```
&SYSTEM
  ibrav = 0, nat = 5, ntyp = 4
/
ATOMIC_SPECIES
Cs 132.91 Cs.upf
Cr 52.00 Cr.upf
N 14.01 N.upf
F 19.00 F.upf
CELL_PARAMETERS angstrom
4.562 0.000 0.000
0.000 4.562 0.000
0.000 0.000 3.884
ATOMIC_POSITIONS crystal
Cs 0.000 0.000 0.000
Cr 0.500 0.500 0.500
N 0.500 0.500 0.000
F 0.000 0.500 0.500
F 0.500 0.000 0.500
```